Entry 1:
{"formula": "HfCo3Si", "functional": "PBE-GGA", "state": "optimized geometry", "lattice_angstrom": [[4.143, 0.000, 0.000], [0.000, 4.143, 0.000], [0.000, 0.000, 4.143]], "species": ["Hf", "Co", "Co", "Co", "Si"], "frac_coords": [[0.000, 0.000, 0.000], [0.000, 0.500, 0.500], [0.500, 0.000, 0.500], [0.500, 0.500, 0.000], [0.500, 0.500, 0.500]], "spacegroup": "Pm-3m", "formation_energy_uncorrected_ev_per_atom": 0.058}



Entry 2:
{"formula": "PRu4Rh", "functional": "PBE-GGA", "state": "optimized geometry", "lattice_angstrom": [[0.000, 3.583, 3.583], [3.583, 0.000, 3.583], [3.583, 3.583, 0.000]], "species": ["P", "Ru", "Ru", "Ru", "Ru", "Rh"], "frac_coords": [[0.000, 0.000, 0.000], [0.375, 0.375, 0.375], [0.375, 0.375, 0.874], [0.375, 0.874, 0.375], [0.874, 0.375, 0.375], [0.750, 0.750, 0.750]], "spacegroup": "F-43m"}



Entry 3:
{"formula": "Ba2LiGaO", "functional": "PBE-GGA", "state": "optimized geometry", "lattice_angstrom": [[5.679, 0.000, 0.000], [0.000, 5.679, 0.000], [0.000, 0.000, 4.060]], "species": ["Ba", "Ba", "Li", "Ga", "O"], "frac_coords": [[0.000, 0.500, 0.000], [0.500, 0.000, 0.000], [0.000, 0.000, 0.500], [0.500, 0.500, 0.500], [0.000, 0.000, 0.000]], "spacegroup": "P4/mmm", "formation_energy_uncorrected_ev_per_atom": -1.099}



Final energy: -7.2804, -7.4858, -3.8475 (eV/atom)